SrTaCd2Se GGA-PBE optimized geometry; V = 29.85 Å³ per atom; E_form (uncorrected) = 0.51 eV/atom; M_tot = 1.9 μB per cell; theoretical density = 6.37 g/cm³
1.0
-4.608 1.942 2.361
-2.658 -0.435 -4.829
-1.333 -4.555 1.144
Cd Sr Ta Se
2 1 1 1
Direct
0.000 0.500 0.000
0.500 0.000 0.000
0.500 0.500 0.500
0.000 0.000 0.500
0.000 0.000 0.000